No. 1
A plane-wave DFT calculation with PBE-GGA was carried out for ReSi2Au after structural relaxation.

Cell lengths 8.195, 3.071, 4.958 Å; angles 90.00, 96.82, 90.00 degrees
Space group C2/m (No. 12)
One atom of each set of equivalent atoms:
Re 0.000 0.000 0.000 x2
Si 0.230 0.500 0.195 x4
Au 0.000 0.500 0.500 x2

Results
For the total magnetic moment, the calculation gives 0.0 μB per cell. The offset from the most stable computed form comes out at 121.7 meV/atom. The value obtained for the energy relative to the elements, uncorrected is 103 meV per atom.

No. 2
A plane-wave DFT calculation with PBE-GGA was carried out for Rb2BeH4S2O10 after structural relaxation.

Cell lengths 11.493, 12.070, 7.548 Å; angles 90.00, 96.61, 90.00 degrees
Space group P2_1/c (No. 14)
One atom of each set of equivalent atoms:
Rb 0.091 0.241 0.494 x4
Rb 0.397 0.102 0.834 x4
Be 0.235 0.581 0.925 x4
H 0.088 0.516 0.719 x4
H 0.180 0.586 0.617 x4
H 0.289 0.736 0.404 x4
H 0.404 0.683 0.966 x4
S 0.129 0.556 0.260 x4
S 0.367 0.109 0.345 x4
O 0.008 0.588 0.293 x4
O 0.142 0.066 0.762 x4
O 0.147 0.602 0.078 x4
O 0.148 0.577 0.733 x4
O 0.216 0.608 0.397 x4
O 0.274 0.184 0.264 x4
O 0.313 0.028 0.469 x4
O 0.321 0.687 0.908 x4
O 0.421 0.047 0.209 x4
O 0.455 0.174 0.464 x4

Results
Its electronic total energy is -431.54 eV for the cell shown. For the total magnetic moment, the calculation gives 0.4 μB per cell.

No. 3
A plane-wave DFT calculation with PBE-GGA was carried out for Tb2SmP3 after structural relaxation.

Cell lengths 4.059, 5.734, 12.160 Å; angles 90.00, 90.00, 90.00 degrees
Space group Immm (No. 71)
One atom of each set of equivalent atoms:
Tb 0.000 0.000 0.166 x4
Sm 0.000 0.000 0.500 x2
P 0.000 0.500 0.169 x4
P 0.000 0.500 0.500 x2

Results
For the total magnetic moment, the calculation gives 0.0 μB per cell. The calculated formation energy is -1.597 eV/atom.

No. 4
A plane-wave DFT calculation with PBE-GGA was carried out for CaNdHo4S8 after structural relaxation.

Cell lengths 8.0769, 8.0769, 20.0450 Å; angles 90.00, 90.00, 120.00 degrees
Space group R3m (No. 160, hexagonal axes)
One atom of each set of equivalent atoms:
Ca 0.0000 0.0000 0.0000 x3
Nd 0.0000 0.0000 0.3724 x3
Ho 0.0000 0.0000 0.7485 x3
Ho 0.0052 0.5026 0.8748 x9
S 0.0000 0.0000 0.1351 x3
S 0.0000 0.0000 0.6159 x3
S 0.0141 0.5070 0.1298 x9
S 0.1778 0.3557 0.9505 x9

Results
For the total magnetic moment, the calculation gives 0.0 μB per cell. The value obtained for the energy relative to the elements, uncorrected is -1989 meV per atom.

So what do the calculations give for calculated density? Going down the list: 11.777; 2.606; 6.586; 4.841 g/cm3.
So what do the calculations give for DOS(E_F)? Going down the list: 2.43; 0.00; 1.60; 10.45 states/eV per cell.